Model a:
This record from the Alexandria database describes a relaxed Cd2IrF crystal. The functional is GGA-PBE.

Properties
Total moment, Bohr magnetons per cell: 0.00
N(E_F), states/eV/cell: 3.64

a = 5.717 Å, b = 5.717 Å, c = 5.717 Å
α = 107.49°, β = 107.49°, γ = 113.51°
Fractional coordinates of all 8 atoms:
Cd  0.081  0.625  0.956
Cd  0.375  0.331  0.456
Cd  0.669  0.125  0.044
Cd  0.875  0.919  0.544
Ir  0.250  0.750  0.500
Ir  0.500  0.500  0.000
F  0.000  0.000  0.000
F  0.750  0.250  0.500



Model b:
This record from the Alexandria database describes a relaxed Cd2IrF crystal. The functional is GGA-PBE.

Properties
Total moment, Bohr magnetons per cell: 0.00
N(E_F), states/eV/cell: 9.47

a = 4.595 Å, b = 4.595 Å, c = 4.595 Å
α = 60.00°, β = 60.00°, γ = 60.00°
Fractional coordinates of all 4 atoms:
Cd  0.250  0.250  0.250
Cd  0.750  0.750  0.750
Ir  0.000  0.000  0.000
F  0.500  0.500  0.500



Which of them is most stable, and which least? Most stable: model a; least stable: model b.



Model a:
This record from the Alexandria database describes a relaxed CdIrN2F crystal. The functional is GGA-PBE.

Properties
Total moment, Bohr magnetons per cell: 0.45
N(E_F), states/eV/cell: 2.51

a = 3.697 Å, b = 3.697 Å, c = 6.769 Å
α = 90.00°, β = 90.00°, γ = 90.00°
Fractional coordinates of all 5 atoms:
Cd  0.000  0.000  0.000
Ir  0.500  0.500  0.500
N  0.000  0.500  0.500
N  0.500  0.000  0.500
F  0.500  0.500  0.000



Model b:
This record from the Alexandria database describes a relaxed CdIrN2F crystal. The functional is GGA-PBE.

Properties
Total moment, Bohr magnetons per cell: 1.69
N(E_F), states/eV/cell: 7.79

a = 4.189 Å, b = 4.189 Å, c = 4.077 Å
α = 90.00°, β = 90.00°, γ = 90.00°
Fractional coordinates of all 5 atoms:
Cd  0.000  0.000  0.000
Ir  0.500  0.500  0.500
N  0.000  0.500  0.000
N  0.500  0.000  0.000
F  0.000  0.000  0.500



Which of them is most stable, and which least? Most stable: model a; least stable: model b.